DFT (GGA-PBE) results for a geometry-optimized Rb2PaAuSe4 structure.

The final energy is -4.4784 eV/atom. As for the space group: I-4 (82). The raw formation energy comes out at -898 meV/atom. The calculation puts the calculated volume at 35.918 Å³ per atom.

Cell lengths 7.221, 7.221, 7.221 Å; angles 112.65, 112.65, 103.29 degrees
Sites, in units of the cell vectors:
Rb1 0.000 0.000 0.000
Rb2 0.750 0.250 0.500
Pa1 0.500 0.500 0.000
Au1 0.250 0.750 0.500
Se1 0.181 0.583 0.067
Se2 0.417 0.484 0.598
Se3 0.516 0.114 0.933
Se4 0.886 0.819 0.402

***

DFT (GGA-PBE) results for a geometry-optimized Rb2PaAu2Se4 structure.

The final energy is -4.4696 eV/atom. As for the space group: C2/m (12). The raw formation energy comes out at -923 meV/atom. The calculation puts the calculated volume at 28.740 Å³ per atom.

Cell lengths 8.037, 8.037, 8.367 Å; angles 108.85, 108.85, 30.53 degrees
Sites, in units of the cell vectors:
Rb1 0.135 0.135 0.080
Rb2 0.865 0.865 0.920
Pa1 0.000 0.000 0.500
Au1 0.321 0.321 0.504
Au2 0.679 0.679 0.496
Se1 0.190 0.190 0.700
Se2 0.487 0.487 0.731
Se3 0.513 0.513 0.269
Se4 0.810 0.810 0.300